Crystalline Rb2HoTlS4 at its relaxed geometry, computed with PBE.

Results
Formation energy without anion corrections (eV/atom): -1.112

a = 11.914 Å, b = 12.279 Å, c = 8.393 Å
α = 90.00°, β = 133.90°, γ = 90.00°
Space group C2/c (No. 15)
One atom of each set of equivalent atoms:
Rb  0.000  0.000  0.000 (multiplicity 4)
Rb  0.250  0.250  0.000 (multiplicity 4)
Ho  0.000  0.500  0.000 (multiplicity 4)
Tl  0.250  0.250  0.500 (multiplicity 4)
S  0.006  0.269  0.471 (multiplicity 8)
S  0.210  0.489  0.458 (multiplicity 8)

***

Crystalline MoAsIN2 at its relaxed geometry, computed with PBE.

Results
Energy relative to the lowest polymorph listed for this composition (meV/atom): 912
Formation energy without anion corrections (eV/atom): 1.830

a = 3.877 Å, b = 3.877 Å, c = 6.869 Å
α = 90.00°, β = 90.00°, γ = 90.00°
Space group P4/mmm (No. 123)
One atom of each set of equivalent atoms:
Mo  0.000  0.000  0.000 (multiplicity 1)
As  0.500  0.500  0.500 (multiplicity 1)
I  0.500  0.500  0.000 (multiplicity 1)
N  0.000  0.500  0.500 (multiplicity 2)

***

Crystalline K2CuNiIr at its relaxed geometry, computed with PBE.

Results
DFT formation energy (kJ/mol of formula units): 504

a = 5.980 Å, b = 5.980 Å, c = 4.467 Å
α = 90.00°, β = 90.00°, γ = 90.00°
Space group P4/mmm (No. 123)
One atom of each set of equivalent atoms:
K  0.000  0.500  0.000 (multiplicity 2)
Cu  0.000  0.000  0.500 (multiplicity 1)
Ni  0.500  0.500  0.000 (multiplicity 1)
Ir  0.500  0.500  0.500 (multiplicity 1)

***

Crystalline Ac4CdRu2 at its relaxed geometry, computed with PBE.

Results
DFT formation energy (kJ/mol of formula units): -117
Energy relative to the lowest polymorph listed for this composition (meV/atom): 0

a = 4.345 Å, b = 14.308 Å, c = 14.841 Å
α = 90.00°, β = 90.00°, γ = 90.00°
Space group Cmcm (No. 63)
One atom of each set of equivalent atoms:
Ac  0.000  0.000  0.000 (multiplicity 4)
Ac  0.000  0.266  0.107 (multiplicity 8)
Ac  0.000  0.418  0.750 (multiplicity 4)
Cd  0.000  0.108  0.750 (multiplicity 4)
Ru  0.000  0.375  0.566 (multiplicity 8)

***

Crystalline Y6Ho3Mg at its relaxed geometry, computed with PBE.

Results
DFT formation energy (kJ/mol of formula units): 125

a = 9.279 Å, b = 15.267 Å, c = 8.896 Å
α = 90.00°, β = 90.00°, γ = 90.00°
Space group Cmc2_1 (No. 36)
One atom of each set of equivalent atoms:
Y  0.000  0.057  0.000 (multiplicity 4)
Y  0.000  0.283  0.888 (multiplicity 4)
Y  0.172  0.348  0.486 (multiplicity 8)
Y  0.239  0.063  0.317 (multiplicity 8)
Ho  0.000  0.455  0.127 (multiplicity 4)
Ho  0.177  0.146  0.648 (multiplicity 8)
Mg  0.000  0.223  0.245 (multiplicity 4)

***

| no. | DOS(E_F) (states/eV per cell) |
| --- | --- |
| 1 | 10.99 |
| 2 | 1.82 |
| 3 | 6.15 |
| 4 | 16.24 |
| 5 | 56.49 |